# 1
First-principles (SCAN) data for a PBEsol-optimized structure of HgBi2Pt2, as listed in the Alexandria database.

Structure (POSCAR):
```
HgBi2Pt2
1.0
-0.965 4.932 2.069
-3.186 1.158 -4.248
-1.081 -4.491 3.063
Bi Pt Hg
2 2 1
Direct
0.250 0.750 0.500
0.750 0.250 0.500
0.657 0.657 0.315
0.343 0.343 0.685
0.000 0.000 0.000
```

Output
- SG: No. 139
- DFT total energy: -365.839 eV per cell
- Size of the total moment: 0.00 μB per formula unit
- N(E_F): 0.29 states/eV per atom
- ΔE_f: -25.5 meV per atom

# 2
First-principles (SCAN) data for a PBEsol-optimized structure of Rb2Hg2Bi, as listed in the Alexandria database.

Structure (POSCAR):
```
Rb2Hg2Bi
1.0
-3.007 -4.339 -3.842
4.946 -2.239 3.627
-3.471 2.392 4.986
Hg Rb Bi
2 2 1
Direct
0.000 0.338 0.338
0.000 0.662 0.662
0.500 0.750 0.250
0.500 0.250 0.750
0.000 0.000 0.000
```

Output
- SG: No. 139
- DFT total energy: -257.918 eV per cell
- Size of the total moment: 0.00 μB per formula unit
- N(E_F): 0.17 states/eV per atom
- Offset from the most stable computed form: 0.0355 eV per atom
- ΔE_f: -305.7 meV per atom

# 3
First-principles (SCAN) data for a PBEsol-optimized structure of RbHgBi3, as listed in the Alexandria database.

Structure (POSCAR):
```
RbHgBi3
1.0
6.037 0.000 0.000
0.000 6.037 0.000
0.000 0.000 6.037
Bi Hg Rb
3 1 1
Direct
0.000 0.000 0.500
0.000 0.500 0.000
0.500 0.000 0.000
0.500 0.500 0.500
0.000 0.000 0.000
```

Output
- SG: No. 221
- DFT total energy: -318.213 eV per cell
- Size of the total moment: 0.00 μB per formula unit
- N(E_F): 1.28 states/eV per atom
- Offset from the most stable computed form: 1.0275 eV per atom
- ΔE_f: 1286.2 meV per atom

Number 1 is which compound?
HgBi2Pt2

What did the second record say?
First-principles (SCAN) data for a PBEsol-optimized structure of Rb2Hg2Bi, as listed in the Alexandria database.

Structure (POSCAR):
```
Rb2Hg2Bi
1.0
-3.007 -4.339 -3.842
4.946 -2.239 3.627
-3.471 2.392 4.986
Hg Rb Bi
2 2 1
Direct
0.000 0.338 0.338
0.000 0.662 0.662
0.500 0.750 0.250
0.500 0.250 0.750
0.000 0.000 0.000
```

Output
- SG: No. 139
- DFT total energy: -257.918 eV per cell
- Size of the total moment: 0.00 μB per formula unit
- N(E_F): 0.17 states/eV per atom
- Offset from the most stable computed form: 0.0355 eV per atom
- ΔE_f: -305.7 meV per atom

DFT total energy of number 2 (Rb2Hg2Bi)?
-257.918 eV per cell

ΔE_f of number 3 (RbHgBi3)?
1286.2 meV per atom